1.
Sm3TlCd4 | PBE | relaxed

```
8
Lattice="-1.8314 5.0785 6.1528 1.8314 -5.0785 6.1528 1.8314 5.0785 -6.1528" Properties=species:S:1:pos:R:3 pbc="T T T"
Sm 0.0000 0.0000 0.0000
Sm 1.8314 0.0000 3.5145
Sm 0.0000 5.0785 2.6383
Tl 0.0000 0.0000 6.1528
Cd 1.8314 2.4215 -1.5684
Cd 1.8314 2.4215 1.5684
Cd 0.0000 2.6569 4.5845
Cd 0.0000 2.6569 7.7212
```

As for the volume: 228.9 Å³/cell. The value obtained for the energy relative to the elements is -1.20 eV/f.u. The calculation puts the density at 8.02 Mg/m³. The calculation puts the total magnetization at 0.00 μB per cell.



2.
NbNiPd | PBE | relaxed

```
3
Lattice="-1.4134 1.4134 5.5384 1.4134 -1.4134 5.5384 1.4134 1.4134 -5.5384" Properties=species:S:1:pos:R:3 pbc="T T T"
Nb 0.0000 0.0000 0.0000
Ni 0.0000 0.0000 7.2890
Pd 0.0000 0.0000 3.5201
```

As for the distance to the lowest polymorph of the same formula: 127 meV per atom. As for the volume: 44.3 Å³/cell. The value obtained for the energy relative to the elements is -0.63 eV/f.u. The calculation puts the density at 9.68 Mg/m³. The calculation puts the total magnetization at 0.00 μB per cell.



3.
Ag2HgBr2F2 | PBE | relaxed

```
7
Lattice="6.0447 -1.9360 0.0000 6.0447 1.9360 0.0000 -3.9830 0.0000 6.2996" Properties=species:S:1:pos:R:3 pbc="T T T"
Ag 1.4244 0.0000 0.6020
Ag 6.6822 0.0000 5.6976
Hg -1.9915 0.0000 3.1498
Br 2.3447 0.0000 4.4253
Br 5.7618 0.0000 1.8743
F -0.8602 0.0000 5.1370
F 8.9667 0.0000 1.1626
```

The formation energy (no corrections) is -0.741 eV per atom. As for the volume: 147.4 Å³/cell. The calculation puts the density at 6.92 Mg/m³. The calculation puts the total magnetization at 0.00 μB per cell.



4.
BaH6O4 | PBE | relaxed

```
11
Lattice="-3.0255 3.0255 2.9669 3.0255 -3.0255 2.9669 3.0255 3.0255 -2.9669" Properties=species:S:1:pos:R:3 pbc="T T T"
Ba 0.0000 0.0000 0.0000
H 3.0255 0.0000 0.0000
H 1.3861 -1.3861 1.6590
H 1.6394 1.6394 1.3079
H 0.0000 3.0255 0.0000
H -1.3861 1.3861 1.6590
H 1.3861 1.3861 4.2747
O 1.7497 1.7497 -0.8129
O 1.2758 -1.2758 3.7798
O 1.2758 1.2758 2.1540
O -1.2758 1.2758 3.7798
```

As for the volume: 108.6 Å³/cell. For the energy, the calculation gives -4.30 eV/atom. The calculation puts the density at 3.17 Mg/m³. The calculation puts the total magnetization at 0.00 μB per cell.



5.
Cs4Ge3I10 | PBE | relaxed

```
17
Lattice="-2.9989 2.9989 21.6044 2.9989 -2.9989 21.6044 2.9989 2.9989 -21.6044" Properties=species:S:1:pos:R:3 pbc="T T T"
Cs 0.0000 0.0000 2.8940
Cs 0.0000 0.0000 8.5925
Cs 0.0000 0.0000 34.6163
Cs 0.0000 0.0000 40.3148
Ge 0.0000 0.0000 15.4813
Ge 0.0000 0.0000 21.6044
Ge 0.0000 0.0000 27.7275
I 2.9989 0.0000 0.0000
I 2.9989 0.0000 5.9740
I 0.0000 0.0000 12.5373
I 2.9989 0.0000 15.6304
I 0.0000 0.0000 18.5994
I 0.0000 2.9989 0.0000
I 0.0000 0.0000 24.6094
I 0.0000 2.9989 5.9740
I 0.0000 0.0000 30.6716
I 0.0000 2.9989 15.6304
```

The formation energy (no corrections) is -0.909 eV per atom. As for the volume: 777.2 Å³/cell. The calculation puts the density at 4.31 Mg/m³. The calculation puts the total magnetization at 0.00 μB per cell.



6.
KRbHg | PBE | relaxed

```
6
Lattice="8.6382 -2.5774 0.0000 8.6382 2.5774 0.0000 -3.9138 0.0000 7.2389" Properties=species:S:1:pos:R:3 pbc="T T T"
K -0.9652 0.0000 1.7904
K 14.3277 0.0000 5.4485
Rb 3.7973 0.0000 2.0554
Rb 9.5652 0.0000 5.1835
Hg 3.3707 0.0000 6.5103
Hg 9.9918 0.0000 0.7286
```

As for the distance to the lowest polymorph of the same formula: 17 meV per atom. As for the volume: 322.3 Å³/cell. The value obtained for the energy relative to the elements is -0.46 eV/f.u. The calculation puts the density at 3.35 Mg/m³. The calculation puts the total magnetization at 0.00 μB per cell.